Zr3Al2Cu3 after structural relaxation, computed with PBE-GGA.

a b c (Å): 8.772 6.266 5.706
angles (deg): 82.85 67.45 73.47
Positions (direct):
Cu (0.398, 0.693, 0.635)
Cu (0.602, 0.307, 0.365)
Cu (0.113, 0.694, 0.948)
Cu (0.887, 0.306, 0.052)
Cu (0.196, 0.035, 0.063)
Cu (0.804, 0.965, 0.937)
Zr (0.571, 0.905, 0.757)
Zr (0.429, 0.095, 0.243)
Zr (0.310, 0.624, 0.248)
Zr (0.690, 0.376, 0.752)
Zr (0.107, 0.061, 0.646)
Zr (0.893, 0.939, 0.354)
Al (0.326, 0.330, 0.764)
Al (0.674, 0.670, 0.236)
Al (0.037, 0.404, 0.285)
Al (0.963, 0.596, 0.715)

Values from the calculation:
The calculation puts the formation energy at -184 meV/atom. As for the polymorph energy (0 for the lowest one): 0.093 eV/atom.


ZrAu2C after structural relaxation, computed with PBE-GGA.

a b c (Å): 4.823 4.823 7.533
angles (deg): 71.33 71.33 90.00
Positions (direct):
C (0.500, 0.500, 0.000)
C (0.250, 0.750, 0.500)
Au (0.503, 0.125, 0.250)
Au (0.247, 0.625, 0.250)
Au (0.375, 0.497, 0.750)
Au (0.875, 0.753, 0.750)
Zr (0.000, 0.000, 0.000)
Zr (0.750, 0.250, 0.500)

Values from the calculation:
The calculation puts the formation energy at 852 meV/atom.


Pm2Pr2Al3 after structural relaxation, computed with PBE-GGA.

a b c (Å): 3.676 3.652 14.776
angles (deg): 90.00 82.85 90.00
Positions (direct):
Pm (0.563, 0.500, 0.873)
Pm (0.437, 0.500, 0.127)
Pr (0.692, 0.500, 0.616)
Pr (0.308, 0.500, 0.384)
Al (0.872, 0.000, 0.257)
Al (0.000, 0.000, 0.000)
Al (0.128, 0.000, 0.743)

Values from the calculation:
The calculation puts the formation energy at -257 meV/atom.